# 1
TaV: relaxed, PBE.

Results
ΔE_f = 0.09 eV per atom
offset from the most stable computed form = 59 meV/atom

a = 6.354 Å, b = 6.354 Å, c = 6.354 Å
α = 90.00°, β = 90.00°, γ = 90.00°
Space group Fd-3m (No. 227, origin choice 2)
Unique sites:
Ta 0.125 0.125 0.125 (multiplicity 8)
V 0.125 0.125 0.625 (multiplicity 8)



# 2
TcMoHW2: relaxed, PBE.

Results
offset from the most stable computed form = 8 meV/atom

a = 4.045 Å, b = 4.045 Å, c = 3.988 Å
α = 90.00°, β = 90.00°, γ = 90.00°
Space group P4/mmm (No. 123)
Unique sites:
Tc 0.000 0.000 0.000 (multiplicity 1)
Mo 0.500 0.500 0.000 (multiplicity 1)
H 0.500 0.500 0.500 (multiplicity 1)
W 0.000 0.500 0.500 (multiplicity 2)



# 3
Li7SbAu12: relaxed, PBE.

Results
formation energy (no corrections) = -325 meV/atom

a = 9.8923 Å, b = 9.8923 Å, c = 12.8930 Å
α = 90.00°, β = 90.00°, γ = 120.00°
Space group R-3 (No. 148, hexagonal axes)
Unique sites:
Li 0.0000 0.0000 0.0000 (multiplicity 3)
Li 0.0088 0.4512 0.2978 (multiplicity 18)
Sb 0.0000 0.0000 0.5000 (multiplicity 3)
Au 0.0333 0.4513 0.0936 (multiplicity 18)
Au 0.0493 0.8659 0.8382 (multiplicity 18)



# 4
AsP2Au: relaxed, PBE.

Results
ΔE_f = 0.65 eV per atom

a = 6.482 Å, b = 6.482 Å, c = 6.482 Å
α = 90.00°, β = 90.00°, γ = 90.00°
Space group F-43m (No. 216)
Unique sites:
As 0.000 0.000 0.000 (multiplicity 4)
P 0.000 0.000 0.500 (multiplicity 4)
P 0.250 0.250 0.750 (multiplicity 4)
Au 0.250 0.250 0.250 (multiplicity 4)



# 5
Tb2Pm3SmBi6: relaxed, PBE.

Results
ΔE_f = -0.92 eV per atom

a = 19.810 Å, b = 4.548 Å, c = 9.092 Å
α = 90.00°, β = 103.20°, γ = 90.00°
Space group C2/m (No. 12)
Unique sites:
Tb 0.167 0.000 0.333 (multiplicity 4)
Pm 0.000 0.500 0.500 (multiplicity 2)
Pm 0.166 0.000 0.833 (multiplicity 4)
Sm 0.000 0.500 0.000 (multiplicity 2)
Bi 0.002 0.000 0.250 (multiplicity 4)
Bi 0.167 0.500 0.087 (multiplicity 4)
Bi 0.168 0.500 0.580 (multiplicity 4)



# 6
CsTlRe2O8: relaxed, PBE.

Results
formation energy (no corrections) = -1706 meV/atom

a = 6.4051 Å, b = 6.4051 Å, c = 9.0255 Å
α = 90.00°, β = 90.00°, γ = 120.00°
Space group P-3 (No. 147)
Unique sites:
Cs 0.0000 0.0000 0.0000 (multiplicity 1)
Tl 0.0000 0.0000 0.5000 (multiplicity 1)
Re 0.3333 0.6667 0.7853 (multiplicity 2)
O 0.1795 0.3670 0.7222 (multiplicity 6)
O 0.3333 0.6667 0.9794 (multiplicity 2)



# 7
Y2ZrAl: relaxed, PBE.

Results
ΔE_f = 0.01 eV per atom

a = 7.339 Å, b = 7.339 Å, c = 7.339 Å
α = 90.00°, β = 90.00°, γ = 90.00°
Space group F-43m (No. 216)
Unique sites:
Y 0.000 0.000 0.000 (multiplicity 4)
Y 0.250 0.250 0.250 (multiplicity 4)
Zr 0.000 0.000 0.500 (multiplicity 4)
Al 0.250 0.250 0.750 (multiplicity 4)



# 8
SiH4I2: relaxed, PBE.

Results
E = -20.52 eV per formula unit

a = 13.365 Å, b = 2.868 Å, c = 8.341 Å
α = 90.00°, β = 117.36°, γ = 90.00°
Space group C2/m (No. 12)
Unique sites:
Si 0.000 0.000 0.000 (multiplicity 2)
H 0.046 0.000 0.201 (multiplicity 4)
H 0.081 0.500 0.015 (multiplicity 4)
I 0.151 0.500 0.643 (multiplicity 4)



# 9
NbAgBMo2: relaxed, PBE.

Results
ΔE_f = 3.03 eV per atom

a = 4.766 Å, b = 4.766 Å, c = 4.847 Å
α = 90.00°, β = 90.00°, γ = 90.00°
Space group P4/mmm (No. 123)
Unique sites:
Nb 0.000 0.000 0.000 (multiplicity 1)
Ag 0.000 0.000 0.500 (multiplicity 1)
B 0.500 0.500 0.000 (multiplicity 1)
Mo 0.000 0.500 0.500 (multiplicity 2)



# 10
Al2In2Ag15: relaxed, PBE.

Results
ΔE_f = 0.11 eV per atom

a = 9.5548 Å, b = 9.5548 Å, c = 14.3927 Å
α = 90.00°, β = 90.00°, γ = 120.00°
Space group R-3m (No. 166, hexagonal axes)
Unique sites:
Al 0.0000 0.0000 0.0948 (multiplicity 6)
In 0.0000 0.0000 0.3709 (multiplicity 6)
Ag 0.0000 0.3324 0.0000 (multiplicity 18)
Ag 0.0000 0.5000 0.5000 (multiplicity 9)
Ag 0.0041 0.5020 0.8333 (multiplicity 18)



# 11
La2CuSnPd6: relaxed, PBE.

Results
ΔE_f = -0.54 eV per atom

a = 5.687 Å, b = 5.691 Å, c = 8.757 Å
α = 71.09°, β = 71.15°, γ = 60.03°
Space group P-1 (No. 2)
Unique sites:
La 0.207 0.209 0.375 (multiplicity 2)
Cu 0.500 0.500 0.500 (multiplicity 1)
Sn 0.000 0.000 0.000 (multiplicity 1)
Pd 0.249 0.746 0.259 (multiplicity 2)
Pd 0.256 0.747 0.743 (multiplicity 2)
Pd 0.257 0.253 0.743 (multiplicity 2)



# 12
Os4Rh: relaxed, PBE.

Results
ΔE_f = 1.91 eV per atom
offset from the most stable computed form = 1801 meV/atom

a = 5.657 Å, b = 5.657 Å, c = 5.657 Å
α = 90.00°, β = 90.00°, γ = 90.00°
Space group Im-3m (No. 229)
Unique sites:
Os 0.250 0.250 0.250 (multiplicity 8)
Rh 0.000 0.000 0.000 (multiplicity 2)